No. 1
Below is a relaxed structure of Rb5Np2I12, with properties calculated at the PBE level.

formation energy without anion corrections = -1134 meV per atom
spin magnetization = 7.1 μB per formula unit
Fermi-level density of states = 16.6 states/eV/f.u.

Cell: 9.3035 11.3487 11.6476 Å, 110.22 90.00 114.20°
Last column: magnetic moment on the atom in μB.
Positions (direct):
I 0.5159 0.0318 0.1900  -0.05
I 0.8879 0.2822 0.5519  -0.01
I 0.1121 0.7178 0.4481  -0.01
I 0.5892 0.6915 0.9391  -0.05
I 0.6057 0.7178 0.4481  -0.01
I 0.0219 0.0437 0.1872  -0.05
I 0.8977 0.3085 0.0609  -0.05
I 0.1023 0.6915 0.9391  -0.05
I 0.3943 0.2822 0.5519  -0.01
I 0.4841 0.9682 0.8100  -0.05
I 0.9781 0.9563 0.8128  -0.05
I 0.4108 0.3085 0.0609  -0.05
Np 0.2510 0.0000 0.0000  3.76
Np 0.7490 0.0000 0.0000  3.76
Rb 0.7180 0.4360 0.3917  0.00
Rb 0.6789 0.3579 0.8017  0.00
Rb 0.2820 0.5640 0.6083  0.00
Rb 0.0000 0.0000 0.5000  0.00
Rb 0.3211 0.6421 0.1983  0.00

***

No. 2
Below is a relaxed structure of Pr2CdPd3Au12, with properties calculated at the PBE level.

spin magnetization = 0.0 μB per formula unit
DFT formation energy = 3 kJ/mol of atoms
Fermi-level density of states = 6.7 states/eV/f.u.

Cell: 8.1524 8.1524 8.1524 Å, 66.20 66.20 66.20°
Positions (direct):
Au 0.6307 0.1245 0.6307
Au 0.3792 0.8540 0.8540
Au 0.8755 0.3693 0.3693
Au 0.1245 0.6307 0.6307
Au 0.3693 0.3693 0.8755
Au 0.8540 0.8540 0.3792
Au 0.6307 0.6307 0.1245
Au 0.1460 0.1460 0.6208
Au 0.6208 0.1460 0.1460
Au 0.3693 0.8755 0.3693
Au 0.1460 0.6208 0.1460
Au 0.8540 0.3792 0.8540
Pr 0.3909 0.3909 0.3909
Pr 0.6091 0.6091 0.6091
Pd 0.0000 0.5000 0.0000
Pd 0.0000 0.0000 0.5000
Pd 0.5000 0.0000 0.0000
Cd 0.0000 0.0000 0.0000

***

No. 3
Below is a relaxed structure of Ho12Mg2In5, with properties calculated at the PBE level.

spin magnetization = 0.0 μB per formula unit
DFT formation energy = -14 kJ/mol of atoms
Fermi-level density of states = 22.4 states/eV/f.u.

Cell: 9.5776 8.2417 8.4834 Å, 85.71 90.00 125.52°
Positions (direct):
Ho 0.1794 0.7658 0.3659
Ho 0.9653 0.2925 0.2098
Ho 0.3272 0.2925 0.2098
Ho 0.5839 0.1679 0.3184
Ho 0.0962 0.1924 0.8603
Ho 0.0347 0.7075 0.7902
Ho 0.6728 0.7075 0.7902
Ho 0.9038 0.8076 0.1397
Ho 0.4161 0.8321 0.6816
Ho 0.5864 0.7658 0.3659
Ho 0.8206 0.2342 0.6341
Ho 0.4136 0.2342 0.6341
In 0.2200 0.4401 0.5208
In 0.6844 0.3689 0.9664
In 0.3156 0.6311 0.0336
In 0.7800 0.5599 0.4792
In 0.0000 0.0000 0.5000
Mg 0.3298 0.0000 0.0000
Mg 0.6702 0.0000 0.0000

***

No. 4
Below is a relaxed structure of ErSn2HSe4, with properties calculated at the PBE level.

spin magnetization = 0.6 μB per formula unit
E = -33.72 eV for the cell shown
Fermi-level density of states = 2.9 states/eV/f.u.

Cell: 4.0407 7.1819 7.2998 Å, 71.68 90.00 90.00°
Last column: magnetic moment on the atom in μB.
Positions (direct):
Er 0.0000 0.5000 0.5000  0.01
H 0.5000 0.5000 0.0000  0.30
Se 0.0000 0.2492 0.2655  -0.03
Se 0.0000 0.7508 0.7345  -0.03
Se 0.5000 0.2625 0.7348  0.01
Se 0.5000 0.7375 0.2652  0.01
Sn 0.0000 0.0000 0.0000  0.00
Sn 0.5000 0.0000 0.5000  -0.04

***

No. 5
Below is a relaxed structure of Tl2CrFe, with properties calculated at the PBE level.

spin magnetization = 6.1 μB per formula unit
DFT formation energy = 67 kJ/mol of atoms
Fermi-level density of states = 1.7 states/eV/f.u.

Cell: 5.5238 5.5238 5.5238 Å, 137.18 137.18 62.16°
Last column: magnetic moment on the atom in μB.
Positions (direct):
Tl 0.0000 0.0000 0.0000  -0.07
Tl 0.2500 0.7500 0.5000  -0.07
Cr 0.5000 0.5000 0.0000  3.35
Fe 0.7500 0.2500 0.5000  2.69

***

No. 6
Below is a relaxed structure of LiCr2Pb, with properties calculated at the PBE level.

spin magnetization = 7.5 μB per formula unit
DFT formation energy = 49 kJ/mol of atoms
Fermi-level density of states = 2.2 states/eV/f.u.

Cell: 4.2659 4.2659 3.9910 Å, 90.00 90.00 90.00°
Last column: magnetic moment on the atom in μB.
Positions (direct):
Pb 0.0000 0.5000 0.5000  -0.18
Cr 0.0000 0.0000 0.0000  3.50
Cr 0.5000 0.5000 0.0000  3.50
Li 0.5000 0.0000 0.5000  -0.01

***

No. 7
Below is a relaxed structure of BWS3, with properties calculated at the PBE level.

formation energy without anion corrections = 923 meV per atom
spin magnetization = 0.0 μB per formula unit
Fermi-level density of states = 2.2 states/eV/f.u.

Cell: 4.6875 4.6875 4.6875 Å, 90.00 90.00 90.00°
Positions (direct):
W 0.0000 0.0000 0.0000
S 0.0000 0.0000 0.5000
S 0.0000 0.5000 0.0000
S 0.5000 0.0000 0.0000
B 0.5000 0.5000 0.5000

***

No. 8
Below is a relaxed structure of AcNpGe, with properties calculated at the PBE level.

spin magnetization = 2.0 μB per formula unit
DFT formation energy = -21 kJ/mol of atoms
Fermi-level density of states = 4.4 states/eV/f.u.

Cell: 5.0109 7.5683 7.5683 Å, 120.00 90.00 90.00°
Last column: magnetic moment on the atom in μB.
Positions (direct):
Np 0.0000 0.8121 0.0000  1.92
Np 0.0000 0.0000 0.8121  1.92
Np 0.0000 0.1879 0.1879  1.92
Ge 0.5000 0.0000 0.0000  -0.03
Ge 0.0000 0.6667 0.3333  -0.02
Ge 0.0000 0.3333 0.6667  -0.02
Ac 0.5000 0.0000 0.4332  0.02
Ac 0.5000 0.4332 0.0000  0.02
Ac 0.5000 0.5668 0.5668  0.02

***

No. 9
Below is a relaxed structure of Sr2Sn3IrPt4, with properties calculated at the PBE level.

spin magnetization = 0.0 μB per formula unit
DFT formation energy = -58 kJ/mol of atoms
Fermi-level density of states = 8.1 states/eV/f.u.

Cell: 4.5814 4.5814 10.8210 Å, 90.00 90.00 90.00°
Positions (direct):
Sr 0.5000 0.0000 0.2537
Sr 0.0000 0.5000 0.7463
Sn 0.0000 0.5000 0.1292
Sn 0.0000 0.0000 0.5000
Sn 0.5000 0.0000 0.8708
Pt 0.0000 0.5000 0.3733
Pt 0.0000 0.0000 0.0000
Pt 0.5000 0.5000 0.0000
Pt 0.5000 0.0000 0.6267
Ir 0.5000 0.5000 0.5000

***

No. 10
Below is a relaxed structure of SnGe3Cl, with properties calculated at the PBE level.

formation energy without anion corrections = 633 meV per atom
spin magnetization = 0.0 μB per formula unit
Fermi-level density of states = 4.3 states/eV/f.u.

Cell: 5.0402 5.0402 5.0402 Å, 90.00 90.00 90.00°
Positions (direct):
Sn 0.5000 0.5000 0.5000
Ge 0.0000 0.5000 0.0000
Ge 0.5000 0.0000 0.0000
Ge 0.0000 0.0000 0.5000
Cl 0.0000 0.0000 0.0000

***

No. 11
Below is a relaxed structure of NaZn2Sn2, with properties calculated at the PBE level.

spin magnetization = 0.0 μB per formula unit
DFT formation energy = 3 kJ/mol of atoms
Fermi-level density of states = 1.7 states/eV/f.u.

Cell: 6.1875 6.4178 8.5648 Å, 77.64 69.78 54.48°
Positions (direct):
Zn 0.6815 0.3770 0.2104
Zn 0.1830 0.0238 0.2348
Zn 0.3185 0.6230 0.7896
Zn 0.8170 0.9762 0.7652
Sn 0.1817 0.6663 0.4936
Sn 0.8183 0.3337 0.5064
Sn 0.4615 0.2566 0.0413
Sn 0.5385 0.7434 0.9587
Na 0.1239 0.2410 0.7884
Na 0.8761 0.7590 0.2116

***

No. 12
Below is a relaxed structure of KTa2CrMo, with properties calculated at the PBE level.

spin magnetization = 0.1 μB per formula unit
DFT formation energy = 314 kJ/mol of atoms
Fermi-level density of states = 10.8 states/eV/f.u.

Cell: 4.5979 4.3629 4.5979 Å, 90.00 90.00 90.00°
Last column: magnetic moment on the atom in μB.
Positions (direct):
Mo 0.0000 0.5000 0.0000  0.09
Ta 0.0000 0.0000 0.5000  0.00
Ta 0.5000 0.0000 0.0000  0.00
K 0.0000 0.0000 0.0000  0.00
Cr 0.5000 0.5000 0.5000  -0.03

***

No. 13
Below is a relaxed structure of Ba2LiHgS, with properties calculated at the PBE level.

formation energy without anion corrections = -915 meV per atom
spin magnetization = 0.4 μB per formula unit
Fermi-level density of states = 5.0 states/eV/f.u.

Cell: 6.2160 6.2160 4.5757 Å, 90.00 90.00 90.00°
Positions (direct):
Ba 0.5000 0.0000 0.0000
Ba 0.0000 0.5000 0.0000
Li 0.0000 0.0000 0.5000
S 0.0000 0.0000 0.0000
Hg 0.5000 0.5000 0.5000

***

No. 14
Below is a relaxed structure of Pm2Ho7In2, with properties calculated at the PBE level.

spin magnetization = 0.0 μB per formula unit
DFT formation energy = -12 kJ/mol of atoms
Fermi-level density of states = 11.9 states/eV/f.u.

Cell: 8.4784 6.4837 6.4837 Å, 97.34 78.11 78.11°
Positions (direct):
Ho 0.8261 0.8825 0.5229
Ho 0.8261 0.5229 0.8825
Ho 0.1739 0.4771 0.1175
Ho 0.0000 0.0000 0.0000
Ho 0.5855 0.1419 0.1419
Ho 0.1739 0.1175 0.4771
Ho 0.4145 0.8581 0.8581
Pm 0.5000 0.6805 0.3195
Pm 0.5000 0.3195 0.6805
In 0.8377 0.3747 0.3747
In 0.1623 0.6253 0.6253

***

No. 15
Below is a relaxed structure of PaHgF3, with properties calculated at the PBE level.

formation energy without anion corrections = -2592 meV per atom
spin magnetization = 1.9 μB per formula unit
Fermi-level density of states = 6.9 states/eV/f.u.

Cell: 4.7044 4.7044 4.7044 Å, 90.00 90.00 90.00°
Last column: magnetic moment on the atom in μB.
Positions (direct):
F 0.0000 0.0000 0.5000  -0.01
F 0.0000 0.5000 0.0000  -0.01
F 0.5000 0.0000 0.0000  -0.01
Hg 0.5000 0.5000 0.5000  0.02
Pa 0.0000 0.0000 0.0000  1.73

***

No. 16
Below is a relaxed structure of Zr2AlMoAs, with properties calculated at the PBE level.

spin magnetization = 0.3 μB per formula unit
DFT formation energy = 103 kJ/mol of atoms
Fermi-level density of states = 4.5 states/eV/f.u.

Cell: 5.0427 4.4116 5.0427 Å, 90.00 90.00 90.00°
Last column: magnetic moment on the atom in μB.
Positions (direct):
Mo 0.5000 0.5000 0.5000  0.53
Al 0.0000 0.0000 0.0000  -0.01
Zr 0.0000 0.0000 0.5000  -0.09
Zr 0.5000 0.0000 0.0000  -0.08
As 0.0000 0.5000 0.0000  -0.01

***

No. 17
Below is a relaxed structure of Mo3Pb3N5, with properties calculated at the PBE level.

formation energy without anion corrections = 81 meV per atom
spin magnetization = 0.0 μB per formula unit
Fermi-level density of states = 5.3 states/eV/f.u.

Cell: 6.1333 7.9885 8.8488 Å, 107.89 96.56 100.06°
Positions (direct):
N 0.9658 0.1327 0.7729
N 0.0342 0.8673 0.2271
N 0.0956 0.8018 0.8740
N 0.9044 0.1982 0.1260
N 0.1986 0.2172 0.4436
N 0.2214 0.4813 0.0240
N 0.7786 0.5187 0.9760
N 0.6722 0.0589 0.4129
N 0.8014 0.7828 0.5564
N 0.3278 0.9411 0.5871
Mo 0.0673 0.6876 0.0312
Mo 0.6713 0.9960 0.6126
Mo 0.0758 0.9072 0.7072
Mo 0.9242 0.0928 0.2928
Mo 0.9327 0.3124 0.9688
Mo 0.3287 0.0040 0.3874
Pb 0.5678 0.6489 0.2182
Pb 0.5130 0.8030 0.8807
Pb 0.4870 0.1970 0.1193
Pb 0.7485 0.4559 0.5173
Pb 0.2515 0.5441 0.4827
Pb 0.4322 0.3511 0.7818

***

No. 18
Below is a relaxed structure of SeICl3, with properties calculated at the PBE level.

formation energy without anion corrections = -226 meV per atom
spin magnetization = 0.0 μB per formula unit

Cell: 7.8786 11.1566 11.2032 Å, 90.00 90.53 90.00°
Positions (direct):
Cl 0.3446 0.6268 0.5088
Cl 0.6554 0.3732 0.4912
Cl 0.3446 0.3732 0.0088
Cl 0.0597 0.6242 0.0948
Cl 0.7866 0.6604 0.7069
Cl 0.0597 0.3758 0.5948
Cl 0.2134 0.3396 0.2931
Cl 0.6554 0.6268 0.9912
Cl 0.7866 0.3396 0.2069
Cl 0.9403 0.3758 0.9052
Cl 0.9403 0.6242 0.4052
Cl 0.2134 0.6604 0.7931
Se 0.0885 0.3493 0.0868
Se 0.9115 0.6507 0.9132
Se 0.0885 0.6507 0.5868
Se 0.9115 0.3493 0.4132
I 0.0779 0.8909 0.5630
I 0.0779 0.1091 0.0630
I 0.9221 0.8909 0.9370
I 0.9221 0.1091 0.4370

***

No. 19
Below is a relaxed structure of Rb2AlPCl6, with properties calculated at the PBE level.

formation energy without anion corrections = -1219 meV per atom
spin magnetization = 2.0 μB per formula unit
Fermi-level density of states = 0.0 states/eV/f.u.

Cell: 7.8209 7.8209 7.3893 Å, 58.05 58.05 90.00°
Last column: magnetic moment on the atom in μB.
Positions (direct):
Cl 0.2930 0.7070 0.0000  0.02
Cl 0.7583 0.7583 0.4834  0.05
Cl 0.7070 0.2930 0.0000  0.02
Cl 0.2417 0.2417 0.5166  0.05
Cl 0.7070 0.7070 0.0000  0.02
Cl 0.2930 0.2930 0.0000  0.02
Rb 0.2500 0.7500 0.5000  0.00
Rb 0.7500 0.2500 0.5000  0.00
Al 0.5000 0.5000 0.0000  0.02
P 0.0000 0.0000 0.0000  0.78

***

No. 20
Below is a relaxed structure of CaSi3H12, with properties calculated at the PBE level.

spin magnetization = 0.0 μB per formula unit
E = -115.89 eV for the cell shown

Cell: 6.8098 6.8098 9.6879 Å, 69.42 69.42 60.00°
Positions (direct):
H 0.7688 0.1563 0.9790
H 0.7831 0.2365 0.6649
H 0.2831 0.8155 0.1649
H 0.4807 0.8537 0.8468
H 0.4811 0.0703 0.0136
H 0.7365 0.2831 0.1649
H 0.2365 0.3155 0.6649
H 0.8188 0.4807 0.8468
H 0.4350 0.4811 0.0136
H 0.3188 0.3537 0.3468
H 0.3155 0.7831 0.6649
H 0.6563 0.2688 0.4790
H 0.8155 0.7365 0.1649
H 0.8537 0.8188 0.8468
H 0.5959 0.6563 0.4790
H 0.1563 0.0959 0.9790
H 0.9807 0.3188 0.3468
H 0.9350 0.5703 0.5136
H 0.0703 0.4350 0.0136
H 0.3537 0.9807 0.3468
H 0.9811 0.9350 0.5136
H 0.5703 0.9811 0.5136
H 0.2688 0.5959 0.4790
H 0.0959 0.7688 0.9790
Si 0.9057 0.6863 0.0043
Si 0.6863 0.4037 0.0043
Si 0.9037 0.1863 0.5043
Si 0.4057 0.9037 0.5043
Si 0.4037 0.9057 0.0043
Si 0.1863 0.4057 0.5043
Ca 0.0710 0.0710 0.7870
Ca 0.5710 0.5710 0.2870

***

No. 21
Below is a relaxed structure of BaCaSiS4, with properties calculated at the PBE level.

formation energy without anion corrections = -1580 meV per atom
spin magnetization = 0.0 μB per formula unit
Fermi-level density of states = 0.0 states/eV/f.u.

Cell: 6.5901 6.7364 8.4283 Å, 90.00 107.82 90.00°
Positions (direct):
Ca 0.7719 0.7500 0.4486
Ca 0.2281 0.2500 0.5514
Ba 0.7309 0.7500 0.9303
Ba 0.2691 0.2500 0.0697
Si 0.7787 0.2500 0.6833
Si 0.2213 0.7500 0.3167
S 0.5902 0.2500 0.8506
S 0.9917 0.4975 0.7327
S 0.5881 0.2500 0.4318
S 0.9917 0.0025 0.7327
S 0.0083 0.9975 0.2673
S 0.4098 0.7500 0.1494
S 0.0083 0.5025 0.2673
S 0.4119 0.7500 0.5682